[1]
Ac8Pt3SBr4 GGA-PBE optimized geometry; formation energy without anion corrections = -1.37 eV/atom; space group = No. 166; total magnetic moment = 0.0000 μB/atom
1.0
4.450 2.569 8.063
-4.450 2.569 8.063
0.000 -5.138 8.063
Ac Pt S Br
8 3 1 4
direct
0.228 0.738 0.738 Ac
0.232 0.232 0.232 Ac
0.262 0.262 0.772 Ac
0.262 0.772 0.262 Ac
0.738 0.228 0.738 Ac
0.738 0.738 0.228 Ac
0.768 0.768 0.768 Ac
0.772 0.262 0.262 Ac
0.000 0.000 0.500 Pt
0.000 0.500 0.000 Pt
0.500 0.000 0.000 Pt
0.500 0.500 0.500 S
0.000 0.000 0.000 Br
0.000 0.500 0.500 Br
0.500 0.000 0.500 Br
0.500 0.500 0.000 Br


[2]
Ac6Pt2SBr3 GGA-PBE optimized geometry; formation energy without anion corrections = -1.39 eV/atom; space group = No. 12; total magnetic moment = 0.0000 μB/atom
1.0
3.900 -6.733 0.000
3.900 6.733 0.000
-2.572 0.000 7.859
Ac Pt S Br
6 2 1 3
direct
0.085 0.431 0.795 Ac
0.221 0.221 0.202 Ac
0.431 0.085 0.795 Ac
0.569 0.915 0.205 Ac
0.779 0.779 0.798 Ac
0.915 0.569 0.205 Ac
0.167 0.833 0.000 Pt
0.833 0.167 0.000 Pt
0.500 0.500 0.000 S
0.000 0.000 0.500 Br
0.343 0.657 0.500 Br
0.657 0.343 0.500 Br


[3]
Ac3SbPtBr GGA-PBE optimized geometry; formation energy without anion corrections = -1.09 eV/atom; space group = No. 11; total magnetic moment = 0.0005 μB/atom
1.0
9.238 0.000 0.000
0.000 4.509 0.000
-2.912 0.000 10.095
Ac Sb Pt Br
6 2 2 2
direct
0.054 0.250 0.344 Ac
0.215 0.250 0.003 Ac
0.386 0.750 0.616 Ac
0.614 0.250 0.384 Ac
0.785 0.750 0.997 Ac
0.946 0.750 0.656 Ac
0.316 0.750 0.270 Sb
0.684 0.250 0.730 Sb
0.166 0.250 0.644 Pt
0.834 0.750 0.356 Pt
0.391 0.750 0.906 Br
0.609 0.250 0.094 Br


Look up the formation energy without anion corrections of the second one.
-1.39 eV/atom